First-principles (PBE+U) data for a relaxed structure of Ac2Zn2CoO6, as listed in Alexandria.

Cell and atoms, written as CIF:
```
data_Ac2Zn2CoO6
_cell_length_a 5.9322
_cell_length_b 5.9322
_cell_length_c 16.0605
_cell_angle_alpha 90.00
_cell_angle_beta 90.00
_cell_angle_gamma 120.00
_space_group_name_H-M_alt 'R -3 m'
_space_group_IT_number 166
_space_group_name_Hall '-R 3 2"'
loop_
_atom_site_label
_atom_site_type_symbol
_atom_site_fract_x
_atom_site_fract_y
_atom_site_fract_z
_atom_site_occupancy
Ac1 Ac 0.0000 0.0000 0.2096 1
Zn1 Zn 0.0000 0.0000 0.4191 1
Co1 Co 0.0000 0.0000 0.0000 1
O1 O 0.0312 0.5156 0.7568 1
```

Output
**E_tot**: -6.0267 eV per atom
**Mass density**: 7.53 Mg/m³